Material: Rb2CaGaCl6
Method: DFT, PBE
State: relaxed

Cell: 7.526 7.526 7.526 Å, 60.00 60.00 60.00°
Positions (direct):
Rb  0.250  0.250  0.250
Rb  0.750  0.750  0.750
Ca  0.000  0.000  0.000
Ga  0.500  0.500  0.500
Cl  0.255  0.255  0.745
Cl  0.255  0.745  0.255
Cl  0.255  0.745  0.745
Cl  0.745  0.255  0.255
Cl  0.745  0.255  0.745
Cl  0.745  0.745  0.255

Computed properties:
E_form (uncorrected) in eV/atom: -1.724
Density of states at the Fermi level in states/eV per atom: 0.273

Material: CaGa2SiCl
Method: DFT, PBE
State: relaxed

Cell: 4.658 4.658 6.230 Å, 90.00 90.00 90.00°
Positions (direct):
Ca  0.000  0.000  0.000
Ga  0.000  0.500  0.500
Ga  0.500  0.000  0.500
Si  0.500  0.500  0.500
Cl  0.500  0.500  0.000

Computed properties:
E_form (uncorrected) in eV/atom: -0.103
Density of states at the Fermi level in states/eV per atom: 0.575